No. 1
Computed, not measured: a relaxed BaCaCoF6 crystal at the GGA+U level of DFT.

Structure (POSCAR):
```
BaCaCoF6
1.0
-1.3603 -1.3487 -5.4261
5.4951 0.9027 1.4492
1.1380 -10.7638 2.3901
Co F Ca Ba
2 12 2 2
direct
0.6667 0.3333 0.2500
0.3333 0.6667 0.7500
0.9747 0.6235 0.3546
0.6488 0.6235 0.1454
0.6488 0.0253 0.3546
0.6235 0.9747 0.8546
0.3765 0.0253 0.1454
0.0253 0.3765 0.6454
0.3512 0.3765 0.8546
0.9747 0.3512 0.1454
0.3765 0.3512 0.3546
0.3512 0.9747 0.6454
0.6235 0.6488 0.6454
0.0253 0.6488 0.8546
0.6667 0.3333 0.7500
0.3333 0.6667 0.2500
0.0000 0.0000 0.0000
0.0000 0.0000 0.5000
```

Properties
- V: 318 Å³ per cell
- N(E_F): 0.00 states/eV per atom
- Final energy: -5.54 eV per atom
- Space-group type: P-31c, No. 163

***

No. 2
Computed, not measured: a relaxed BaCa2CoF8 crystal at the GGA+U level of DFT.

Structure (POSCAR):
```
BaCa2CoF8
1.0
4.4201 -0.0792 0.1175
-0.0594 5.5132 0.0441
0.2119 0.0931 7.6373
F Ca Co Ba
8 2 1 1
direct
0.1487 0.8094 0.7955
0.0688 0.7083 0.2218
0.3607 0.2501 0.0142
0.8513 0.1906 0.2045
0.5155 0.7290 0.4959
0.6393 0.7499 0.9858
0.4845 0.2710 0.5041
0.9312 0.2917 0.7782
0.5465 0.5155 0.2310
0.4535 0.4845 0.7690
0.0000 0.0000 0.0000
0.0000 0.0000 0.5000
```

Properties
- V: 186 Å³ per cell
- N(E_F): 0.00 states/eV per atom
- Final energy: -5.55 eV per atom
- Space-group type: P-1, No. 2

***

No. 3
Computed, not measured: a relaxed Ba2CaFe2CoF14 crystal at the GGA+U level of DFT.

Structure (POSCAR):
```
Ba2CaFe2CoF14
1.0
7.4901 0.0122 -0.0193
5.5191 5.0637 -0.0193
0.2764 0.1079 15.0811
Co F Ca Fe Ba
2 28 2 4 4
direct
0.0000 0.0000 0.5000
0.0000 0.0000 0.0000
0.1278 0.5495 0.2787
0.4223 0.5993 0.3424
0.5993 0.4223 0.8424
0.7731 0.3946 0.0164
0.5777 0.4007 0.6576
0.0919 0.6597 0.7948
0.9730 0.1370 0.3809
0.0812 0.6692 0.4535
0.9188 0.3308 0.5465
0.6692 0.0812 0.9535
0.3403 0.9081 0.7052
0.3946 0.7731 0.5164
0.2269 0.6054 0.9836
0.4007 0.5777 0.1576
0.1370 0.9730 0.8809
0.1905 0.3095 0.9112
0.8722 0.4505 0.7213
0.6054 0.2269 0.4836
0.4505 0.8722 0.2213
0.8630 0.0270 0.1191
0.3308 0.9188 0.0465
0.6905 0.8095 0.5888
0.3095 0.1905 0.4112
0.5495 0.1278 0.7787
0.6597 0.0919 0.2948
0.9081 0.3403 0.2052
0.0270 0.8630 0.6191
0.8095 0.6905 0.0888
0.9409 0.0591 0.7500
0.0591 0.9409 0.2500
0.6256 0.6099 0.1237
0.3901 0.3744 0.3763
0.6099 0.6256 0.6237
0.3744 0.3901 0.8763
0.2578 0.3614 0.6207
0.6386 0.7422 0.8793
0.7422 0.6386 0.3793
0.3614 0.2578 0.1207
```

Properties
- V: 571 Å³ per cell
- N(E_F): 0.00 states/eV per atom
- Final energy: -5.51 eV per atom
- Space-group type: C2/c, No. 15